The following is a PBE calculation of a relaxed structure of AlInCu6, from Alexandria.

a = 4.281 Å, b = 4.740 Å, c = 5.307 Å
α = 90.00°, β = 90.00°, γ = 90.00°
Element x y z (fractional)
Al: 0.500 0.346 0.500
In: 0.000 0.662 0.000
Cu: 0.500 0.849 0.263
Cu: 0.000 0.163 0.738
Cu: 0.000 0.163 0.262
Cu: 0.500 0.849 0.737
Cu: 0.000 0.662 0.500
Cu: 0.500 0.306 0.000

Values from the calculation:
- M_tot (Bohr magnetons per cell) = 0.0
- energy above the lowest structure with this stoichiometry (eV per atom) = 0.000
- E_form (meV/atom) = -79.0